DFT (PBE+U) results for LiMnPO4 after structural relaxation.

abc: 10.7099 10.7099 12.8529
angles: 90.00 90.00 120.00
Site moments in Bohr magnetons follow the coordinates.
Element x y z (fractional)
1 O 0.3915 0.1145 0.2889  0.02
2 O 0.3768 0.7947 0.0738  0.03
3 O 0.1145 0.7231 0.6222  0.02
4 O 0.2769 0.3915 0.9555  0.02
5 O 0.6085 0.7231 0.0445  0.02
6 O 0.4049 0.3008 0.6063  0.03
7 O 0.2769 0.8855 0.3778  0.02
8 O 0.5821 0.2053 0.5929  0.03
9 O 0.3768 0.5821 0.2595  0.03
10 O 0.8855 0.2769 0.6222  0.02
11 O 0.8136 0.8737 0.9125  0.03
12 O 0.9399 0.8136 0.5792  0.03
13 O 0.1041 0.6992 0.0604  0.03
14 O 0.1864 0.1263 0.9125  0.03
15 O 0.0601 0.8737 0.7541  0.03
16 O 0.1041 0.4049 0.2730  0.03
17 O 0.2053 0.6232 0.9262  0.03
18 O 0.3008 0.4049 0.3937  0.03
19 O 0.7947 0.4179 0.4071  0.03
20 O 0.6992 0.5951 0.3937  0.03
21 O 0.1864 0.0601 0.4208  0.03
22 O 0.5951 0.6992 0.6063  0.03
23 O 0.7231 0.6085 0.9555  0.02
24 O 0.7947 0.3768 0.9262  0.03
25 O 0.2053 0.5821 0.4071  0.03
26 O 0.6232 0.2053 0.0738  0.03
27 O 0.8959 0.5951 0.2730  0.03
28 O 0.8737 0.8136 0.0875  0.03
29 O 0.6085 0.8855 0.2889  0.02
30 O 0.1145 0.3915 0.7111  0.02
31 O 0.1263 0.1864 0.0875  0.03
32 O 0.4179 0.7947 0.5929  0.03
33 O 0.4049 0.1041 0.7270  0.03
34 O 0.8855 0.6085 0.7111  0.02
35 O 0.1263 0.9399 0.2459  0.03
36 O 0.6992 0.1041 0.9396  0.03
37 O 0.8959 0.3008 0.0604  0.03
38 O 0.8737 0.0601 0.2459  0.03
39 O 0.0601 0.1864 0.5792  0.03
40 O 0.3915 0.2769 0.0445  0.02
41 O 0.6232 0.4179 0.2595  0.03
42 O 0.3008 0.8959 0.9396  0.03
43 O 0.8136 0.9399 0.4208  0.03
44 O 0.5951 0.8959 0.7270  0.03
45 O 0.7231 0.1145 0.3778  0.02
46 O 0.4179 0.6232 0.7405  0.03
47 O 0.5821 0.3768 0.7405  0.03
48 O 0.9399 0.1263 0.7541  0.03
49 P 0.0000 0.2419 0.6667  0.02
50 P 0.2419 0.2419 0.0000  0.02
51 P 0.4951 0.2476 0.6667  0.02
52 P 0.2419 0.0000 0.3333  0.02
53 P 0.5049 0.7524 0.6667  0.02
54 P 0.7581 0.0000 0.3333  0.02
55 P 0.2476 0.4951 0.3333  0.02
56 P 0.7524 0.2476 0.0000  0.02
57 P 0.7581 0.7581 0.0000  0.02
58 P 0.7524 0.5049 0.3333  0.02
59 P 0.0000 0.7581 0.6667  0.02
60 P 0.2476 0.7524 0.0000  0.02
61 Li 0.5000 0.5000 0.3280  0.00
62 Li 0.5000 0.5000 0.0000  0.00
63 Li 0.5000 0.0000 0.3333  0.00
64 Li 0.0000 0.0000 0.5000  0.00
65 Li 0.5000 0.0000 0.0054  0.00
66 Li 0.0000 0.5000 0.3387  0.00
67 Li 0.0000 0.5000 0.6667  0.00
68 Li 0.0000 0.0000 0.1667  0.00
69 Li 0.5000 0.0000 0.6613  0.00
70 Li 0.0000 0.5000 0.9946  0.00
71 Li 0.0000 0.0000 0.8333  0.00
72 Li 0.5000 0.5000 0.6720  0.00
73 Mn 0.5051 0.7525 0.1667  4.62
74 Mn 0.2503 0.0000 0.8333  4.62
75 Mn 0.7525 0.5051 0.8333  4.62
76 Mn 0.2475 0.7525 0.5000  4.62
77 Mn 0.7497 0.0000 0.8333  4.62
78 Mn 0.7497 0.7497 0.5000  4.62
79 Mn 0.0000 0.2503 0.1667  4.62
80 Mn 0.2475 0.4949 0.8333  4.62
81 Mn 0.2503 0.2503 0.5000  4.62
82 Mn 0.4949 0.2475 0.1667  4.62
83 Mn 0.7525 0.2475 0.5000  4.62
84 Mn 0.0000 0.7497 0.1667  4.62

Computed properties:
The value obtained for the energy relative to the lowest polymorph listed for this composition is 0.076 eV per atom. The calculation puts the size of the total moment at 60.0 Bohr magnetons per cell. Its space group is No. 181.